First-principles (PBE) data for a relaxed Tb4O crystal, as listed in Alexandria via LeMat-Bulk.

Calculated values
- density of states at the Fermi level (states/eV/atom) = 0.992
- crystal system = cubic
- SG = No. 221
- ΔE_f (raw) (eV/f.u.) = -5.51
- energy (eV per cell) = -29.0
- magnetization (μB per atom) = 0.00
- theoretical density (g cm⁻³) = 8.87

a b c (Å): 4.959 4.959 4.959
angles (deg): 90.00 90.00 90.00
Fractional coordinates of all 5 atoms:
Tb (0.000, 0.500, 0.500)
O (0.500, 0.500, 0.500)
Tb (0.000, 0.000, 0.000)
Tb (0.500, 0.000, 0.500)
Tb (0.500, 0.500, 0.000)